Record 1
Entry from Alexandria: a geometry-optimized Tl2NiBr6 structure (PBE-GGA).

Output
* space group: P4_2/mnm
* electronic total energy: -2.720 eV per atom
* energy above the lowest structure with this stoichiometry: 0.055 eV per atom
* total moment: 0.21 μB per cell
* energy relative to the elements, uncorrected: -436 meV/atom

a = 6.915 Å, b = 6.915 Å, c = 12.723 Å
α = 90.00°, β = 90.00°, γ = 90.00°
Last column: magnetic moment on the atom in μB.
Fractional coordinates of all 18 atoms:
Ni1 0.000 0.000 0.000  0.11
Tl1 0.500 0.500 0.158  -0.01
Br1 0.324 0.324 0.637  0.00
Br2 0.676 0.676 0.363  0.00
Br3 0.824 0.176 0.863  0.00
Br4 0.324 0.324 0.363  0.00
Br5 0.250 0.250 0.000  -0.01
Ni2 0.500 0.500 0.500  0.11
Br6 0.176 0.824 0.863  0.00
Br7 0.176 0.824 0.137  0.00
Br8 0.750 0.250 0.500  -0.01
Tl2 0.000 0.000 0.658  -0.01
Br9 0.824 0.176 0.137  0.00
Br10 0.250 0.750 0.500  -0.01
Br11 0.676 0.676 0.637  0.00
Tl3 0.500 0.500 0.842  -0.01
Tl4 0.000 0.000 0.342  -0.01
Br12 0.750 0.750 0.000  -0.01

Record 2
Entry from Alexandria: a geometry-optimized Ca2ErPdO4 structure (PBE-GGA).

Output
* space group: P2/m
* electronic total energy: -6.632 eV per atom
* total moment: 1.00 μB per cell
* energy relative to the elements, uncorrected: -2433 meV/atom

a = 3.331 Å, b = 6.156 Å, c = 6.023 Å
α = 115.41°, β = 90.00°, γ = 90.00°
Last column: magnetic moment on the atom in μB.
Fractional coordinates of all 8 atoms:
O1 0.500 0.268 0.225  0.13
Ca1 0.000 0.500 0.500  0.01
O2 0.000 0.288 0.733  0.00
Er1 0.500 0.500 0.000  0.00
O3 0.500 0.732 0.775  0.13
Pd1 0.000 0.000 0.000  0.70
O4 0.000 0.712 0.267  0.00
Ca2 0.500 0.000 0.500  0.00

Record 3
Entry from Alexandria: a geometry-optimized Mg6TlCd2 structure (PBE-GGA).

Output
* space group: C2/m
* electronic total energy: -1.527 eV per atom
* energy above the lowest structure with this stoichiometry: 0.058 eV per atom
* total moment: 0.00 μB per cell

a = 4.772 Å, b = 8.448 Å, c = 8.448 Å
α = 42.81°, β = 71.50°, γ = 71.50°
Fractional coordinates of all 9 atoms:
Mg1 0.596 0.144 0.640
Mg2 0.404 0.856 0.360
Cd1 0.173 0.319 0.319
Mg3 0.596 0.640 0.144
Mg4 0.201 0.795 0.795
Tl1 0.000 0.000 0.000
Mg5 0.799 0.205 0.205
Mg6 0.404 0.360 0.856
Cd2 0.827 0.681 0.681

Record 4
Entry from Alexandria: a geometry-optimized Sn2SbTe4 structure (PBE-GGA).

Output
* space group: Cmmm
* electronic total energy: -3.704 eV per atom
* energy above the lowest structure with this stoichiometry: 0.000 eV per atom
* total moment: 0.00 μB per cell
* energy relative to the elements, uncorrected: -176 meV/atom

a = 4.372 Å, b = 7.615 Å, c = 7.615 Å
α = 107.84°, β = 90.00°, γ = 90.00°
Fractional coordinates of all 7 atoms:
Sb1 0.000 0.000 0.000
Sn1 0.500 0.000 0.500
Te1 0.000 0.253 0.747
Te2 0.500 0.753 0.753
Te3 0.500 0.247 0.247
Te4 0.000 0.747 0.253
Sn2 0.500 0.500 0.000

Record 5
Entry from Alexandria: a geometry-optimized NpPb3I2O6 structure (PBE-GGA).

Output
* space group: C2/m
* electronic total energy: -6.029 eV per atom
* total moment: 0.00 μB per cell
* energy relative to the elements, uncorrected: -1287 meV/atom

a = 6.440 Å, b = 6.892 Å, c = 7.179 Å
α = 118.69°, β = 78.56°, γ = 90.00°
Fractional coordinates of all 12 atoms:
I1 0.097 0.741 0.483
Pb1 0.000 0.500 0.000
I2 0.903 0.259 0.517
Pb2 0.500 0.500 0.500
O1 0.320 0.166 0.907
O2 0.668 0.837 0.674
O3 0.332 0.163 0.326
O4 0.680 0.259 0.093
O5 0.680 0.834 0.093
O6 0.320 0.741 0.907
Np1 0.500 0.000 0.000
Pb3 0.500 0.000 0.500

Record 6
Entry from Alexandria: a geometry-optimized SrCaGeAu structure (PBE-GGA).

Output
* space group: F-43m
* electronic total energy: -3.515 eV per atom
* total moment: 0.00 μB per cell

a = 5.299 Å, b = 5.299 Å, c = 5.299 Å
α = 60.00°, β = 60.00°, γ = 60.00°
Fractional coordinates of all 4 atoms:
Au1 0.750 0.750 0.750
Sr1 0.500 0.500 0.500
Ge1 0.250 0.250 0.250
Ca1 0.000 0.000 0.000

Record 7
Entry from Alexandria: a geometry-optimized Cu4Br structure (PBE-GGA).

Output
* space group: Pm-3m
* electronic total energy: -2.506 eV per atom
* energy above the lowest structure with this stoichiometry: 0.160 eV per atom
* total moment: 0.00 μB per cell
* energy relative to the elements, uncorrected: 1106 meV/atom

a = 4.649 Å, b = 4.649 Å, c = 4.649 Å
α = 90.00°, β = 90.00°, γ = 90.00°
Fractional coordinates of all 5 atoms:
Br1 0.500 0.500 0.500
Cu1 0.500 0.000 0.500
Cu2 0.000 0.000 0.000
Cu3 0.000 0.500 0.500
Cu4 0.500 0.500 0.000

Record 8
Entry from Alexandria: a geometry-optimized Ac2Ce2CoBi2 structure (PBE-GGA).

Output
* space group: I4/mmm
* electronic total energy: -5.665 eV per atom
* total moment: 0.97 μB per cell

a = 4.965 Å, b = 4.965 Å, c = 9.839 Å
α = 104.62°, β = 104.62°, γ = 90.00°
Last column: magnetic moment on the atom in μB.
Fractional coordinates of all 7 atoms:
Bi1 0.634 0.634 0.269  -0.01
Ac1 0.171 0.171 0.342  0.01
Ce1 0.000 0.500 0.000  0.40
Ac2 0.829 0.829 0.658  0.01
Co1 0.000 0.000 0.000  -0.08
Ce2 0.500 0.000 0.000  0.40
Bi2 0.366 0.366 0.731  -0.01

Record 9
Entry from Alexandria: a geometry-optimized MgAsPt2 structure (PBE-GGA).

Output
* space group: Pmm2
* electronic total energy: -5.066 eV per atom
* total moment: 0.00 μB per cell

a = 4.665 Å, b = 2.872 Å, c = 5.067 Å
α = 89.97°, β = 90.00°, γ = 90.00°
Fractional coordinates of all 4 atoms:
Mg1 0.500 0.750 0.799
Pt1 0.000 0.250 0.946
As1 0.000 0.251 0.463
Pt2 0.500 0.250 0.292

Record 10
Entry from Alexandria: a geometry-optimized Li6LaAl12 structure (PBE-GGA).

Output
* space group: R-3m
* electronic total energy: -3.183 eV per atom
* total moment: 0.00 μB per cell

a = 7.290 Å, b = 7.290 Å, c = 7.290 Å
α = 104.44°, β = 104.44°, γ = 104.44°
Fractional coordinates of all 19 atoms:
Li1 0.284 0.727 0.727
Al1 0.886 0.114 0.500
Al2 0.500 0.114 0.886
Li2 0.716 0.273 0.273
Li3 0.273 0.716 0.273
Al3 0.407 0.154 0.407
Li4 0.727 0.284 0.727
Al4 0.886 0.500 0.114
Al5 0.114 0.500 0.886
Al6 0.593 0.593 0.846
Al7 0.407 0.407 0.154
Al8 0.846 0.593 0.593
La1 0.000 0.000 0.000
Al9 0.114 0.886 0.500
Al10 0.593 0.846 0.593
Al11 0.500 0.886 0.114
Al12 0.154 0.407 0.407
Li5 0.273 0.273 0.716
Li6 0.727 0.727 0.284

Record 11
Entry from Alexandria: a geometry-optimized Sm2Er5Sc4 structure (PBE-GGA).

Output
* space group: Immm
* electronic total energy: -4.861 eV per atom
* total moment: 2.96 μB per cell

a = 3.431 Å, b = 7.202 Å, c = 14.249 Å
α = 104.64°, β = 96.91°, γ = 90.00°
Last column: magnetic moment on the atom in μB.
Fractional coordinates of all 11 atoms:
Sc1 0.903 0.903 0.805  0.34
Sc2 0.097 0.097 0.195  0.34
Sc3 0.000 0.320 0.000  0.03
Er1 0.500 0.000 0.000  0.23
Er2 0.196 0.945 0.392  0.28
Sm1 0.401 0.401 0.802  0.03
Er3 0.804 0.552 0.608  0.28
Sm2 0.599 0.599 0.198  0.03
Er4 0.804 0.055 0.608  0.28
Sc4 0.000 0.680 0.000  0.03
Er5 0.196 0.448 0.392  0.28

Record 12
Entry from Alexandria: a geometry-optimized HoScRuPb structure (PBE-GGA).

Output
* space group: F-43m
* electronic total energy: -6.259 eV per atom
* energy above the lowest structure with this stoichiometry: 0.221 eV per atom
* total moment: 0.00 μB per cell

a = 4.971 Å, b = 4.971 Å, c = 4.971 Å
α = 60.00°, β = 60.00°, γ = 60.00°
Fractional coordinates of all 4 atoms:
Sc1 0.000 0.000 0.000
Ru1 0.750 0.750 0.750
Pb1 0.250 0.250 0.250
Ho1 0.500 0.500 0.500

> Number 1 is which compound?

Tl2NiBr6

> Which formula does entry 10 have?

Li6LaAl12

> total moment of number 7 (Cu4Br)?

0.00 μB per cell

> Look up the electronic total energy of the eleventh one.

-4.861 eV per atom